[1]
Crystalline ZrMo2 at its relaxed geometry. Source: Alexandria, functional PBE.

Its total energy is -28.25 eV/f.u. The offset from the most stable computed form is 804 meV/atom. Its calculated volume is 170.28 Å³/cell.

a = 6.6131 Å, b = 6.6131 Å, c = 4.4961 Å
α = 90.00°, β = 90.00°, γ = 120.00°
Last column: nearest neighbours and their distance in Å.
Space group P-62m (No. 189)
One atom of each set of equivalent atoms:
Zr 0.0000 0.0000 0.0000 (multiplicity 1)  6 Mo 2.71
Zr 0.3333 0.6667 0.5000 (multiplicity 2)  3 Mo 2.62
Mo 0.0000 0.2280 0.5000 (multiplicity 3)  4 Mo 2.61-2.88, 4 Zr 2.62-2.71
Mo 0.0000 0.5013 0.0000 (multiplicity 3)  2 Mo 2.88, 4 Zr 2.95

=====

[2]
Crystalline Nb2CrFe at its relaxed geometry. Source: Alexandria, functional PBE.

Its total energy is -35.86 eV/f.u. Its calculated volume is 248.12 Å³/cell.

a = 6.8024 Å, b = 6.8024 Å, c = 5.3622 Å
α = 90.00°, β = 90.00°, γ = 90.00°
Last column: nearest neighbours and their distance in Å.
Space group I-42d (No. 122)
One atom of each set of equivalent atoms:
Nb 0.2384 0.2500 0.1250 (multiplicity 8)  2 Fe 2.44, 2 Cr 2.55, 2 Nb 2.69
Cr 0.0000 0.0000 0.5000 (multiplicity 4)  4 Nb 2.55, 2 Fe 2.68
Fe 0.0000 0.0000 0.0000 (multiplicity 4)  4 Nb 2.44, 2 Cr 2.68

=====

[3]
Crystalline Ti2AsPtAu at its relaxed geometry. Source: Alexandria, functional PBE.

Its total energy is -29.01 eV/f.u. Its calculated volume is 101.09 Å³/cell.

a = 4.6946 Å, b = 4.6946 Å, c = 4.5868 Å
α = 90.00°, β = 90.00°, γ = 90.00°
Last column: nearest neighbours and their distance in Å.
Space group P4/mmm (No. 123)
One atom of each set of equivalent atoms:
Ti 0.0000 0.5000 0.0000 (multiplicity 2)  2 As 2.35
As 0.0000 0.0000 0.0000 (multiplicity 1)  2 Pt 2.29, 4 Ti 2.35
Pt 0.0000 0.0000 0.5000 (multiplicity 1)  2 As 2.29
Au 0.5000 0.5000 0.5000 (multiplicity 1)  8 Ti 3.28, 4 Pt 3.32

=====

[4]
Crystalline Ba4Ru3O10 at its relaxed geometry. Source: Alexandria, functional PBE.

Its total energy is -116.14 eV/f.u. The offset from the most stable computed form is 48 meV/atom. Its calculated volume is 493.53 Å³/cell. The value obtained for the energy relative to the elements, uncorrected is -1.826 eV per atom.

a = 4.0679 Å, b = 4.0679 Å, c = 29.8247 Å
α = 90.00°, β = 90.00°, γ = 90.00°
Last column: nearest neighbours and their distance in Å.
Space group I4/mmm (No. 139)
One atom of each set of equivalent atoms:
Ba 0.0000 0.0000 0.0682 (multiplicity 4)  12 O 2.88-2.90
Ba 0.0000 0.0000 0.2019 (multiplicity 4)  9 O 2.73-2.88
Ru 0.0000 0.0000 0.3618 (multiplicity 4)  6 O 2.03-2.10
Ru 0.0000 0.0000 0.5000 (multiplicity 2)  6 O 2.02-2.03
O 0.0000 0.0000 0.2935 (multiplicity 4)  1 Ru 2.04
O 0.0000 0.0000 0.4323 (multiplicity 4)  2 Ru 2.02-2.10
O 0.0000 0.5000 0.0000 (multiplicity 4)  2 Ru 2.03
O 0.0000 0.5000 0.1376 (multiplicity 8)  2 Ru 2.03

=====

[5]
Crystalline Na2Pb5Cl12 at its relaxed geometry. Source: Alexandria, functional PBE.

Its total energy is -67.23 eV/f.u. The offset from the most stable computed form is 13 meV/atom. Its calculated volume is 1205.35 Å³/cell. The value obtained for the energy relative to the elements, uncorrected is -1.257 eV per atom.

a = 15.2679 Å, b = 8.4944 Å, c = 10.0641 Å
α = 90.00°, β = 112.56°, γ = 90.00°
Last column: nearest neighbours and their distance in Å.
Space group C2/m (No. 12)
One atom of each set of equivalent atoms:
Na 0.0000 0.2462 0.0000 (multiplicity 4)  6 Cl 2.76-3.06
Pb 0.0000 0.0000 0.5000 (multiplicity 2)  4 Cl 2.84
Pb 0.1802 0.5000 0.3760 (multiplicity 4)  5 Cl 2.84-3.07
Pb 0.2339 0.5000 0.9598 (multiplicity 4)  6 Cl 2.83-3.12
Cl 0.0127 0.5000 0.8175 (multiplicity 4)  2 Pb 2.84-3.12, 2 Na 2.89
Cl 0.0724 0.0000 0.8453 (multiplicity 4)  1 Pb 2.85, 2 Na 3.06
Cl 0.1360 0.2279 0.5013 (multiplicity 8)  2 Pb 2.84
Cl 0.1937 0.2820 0.1417 (multiplicity 8)  1 Na 2.76, 3 Pb 2.83-3.07

=====

[6]
Crystalline La2Y2Tm5 at its relaxed geometry. Source: Alexandria, functional PBE.

Its total energy is -43.29 eV/f.u. The offset from the most stable computed form is 0 meV/atom. Its calculated volume is 1184.46 Å³/cell.

a = 14.9033 Å, b = 11.8888 Å, c = 6.6850 Å
α = 90.00°, β = 90.00°, γ = 90.00°
Last column: nearest neighbours and their distance in Å.
Space group Ima2 (No. 46)
One atom of each set of equivalent atoms:
La 0.0000 0.0000 0.0000 (multiplicity 4)  4 Tm 3.24-3.57, 2 Y 3.56
La 0.2500 0.0092 0.0906 (multiplicity 4)  4 Tm 3.39-3.65, 2 Y 3.58, 2 La 3.78
Y 0.1261 0.5056 0.0478 (multiplicity 8)  4 Tm 3.36-3.68, 2 La 3.56-3.58, 2 Y 3.69-3.76
Tm 0.0537 0.7402 0.6962 (multiplicity 8)  6 Tm 3.20-3.57, 1 La 3.24, 1 Y 3.36
Tm 0.1412 0.2347 0.8931 (multiplicity 8)  5 Tm 3.20-3.54, 1 Y 3.39, 2 La 3.40-3.57
Tm 0.2500 0.7477 0.8898 (multiplicity 4)  6 Tm 3.20-3.57, 1 La 3.39, 2 Y 3.58